Below is RbMg2Ag after structural relaxation, with properties calculated at the GGA-PBE level.

```
8
Lattice="5.987 0.000 0.000 0.000 5.987 0.000 2.994 2.994 9.085" Properties=species:S:1:pos:R:3 pbc="T T T"
Mg 5.985 1.497 2.271
Mg 5.989 4.491 2.271
Mg 4.491 2.996 6.814
Mg 7.484 2.992 6.814
Rb 2.994 2.994 0.000
Rb 2.994 5.987 4.543
Ag 0.000 0.000 0.000
Ag 5.987 2.994 4.543
```

Output
ΔE_f	225	meV/atom
N(E_F)	5.001	states/eV per cell
symmetry	No. 141
magnetization	0.0	μB/f.u.
V	325.7	Å³ per cell

=====

Below is RbZnPbF6 after structural relaxation, with properties calculated at the GGA-PBE level.

```
9
Lattice="5.873 0.001 0.000 2.938 5.086 0.000 0.001 -0.002 5.937" Properties=species:S:1:pos:R:3 pbc="T T T"
Rb 8.812 5.085 5.937
Zn 2.938 1.695 2.968
Pb 5.874 3.390 2.968
F 1.229 1.872 1.794
F 2.237 0.127 4.143
F 4.645 1.874 4.144
F 1.929 3.085 4.142
F 3.947 3.084 1.793
F 3.637 0.127 1.794
```

Output
uncorrected formation energy	-2.316	eV per atom
N(E_F)	3.861	states/eV per cell
symmetry	No. 149
magnetization	0.6	μB/f.u.
V	177.3	Å³ per cell

=====

Below is La3PrYHo after structural relaxation, with properties calculated at the GGA-PBE level.

```
12
Lattice="5.238 0.000 0.000 0.000 8.112 -0.699 0.000 -3.908 10.278" Properties=species:S:1:pos:R:3 pbc="T T T"
La 1.309 3.315 4.278
La 3.928 6.930 -0.167
La 3.928 2.261 1.877
La 3.928 0.889 5.300
La 1.309 1.943 7.701
La 1.309 -2.726 9.746
Pr 3.928 4.353 6.650
Pr 1.309 -0.149 2.928
Y 1.309 4.603 0.857
Y 3.928 -0.399 8.721
Ho 1.309 -1.437 6.320
Ho 3.928 5.641 3.259
```

Output
ΔE_f	28	meV/atom
N(E_F)	22.316	states/eV per cell
symmetry	No. 11
magnetization	0.0	μB/f.u.
V	422.4	Å³ per cell

=====

Below is BaOsPt after structural relaxation, with properties calculated at the GGA-PBE level.

```
3
Lattice="4.860 0.000 0.000 2.430 4.209 0.000 2.430 1.403 3.968" Properties=species:S:1:pos:R:3 pbc="T T T"
Os 0.000 0.000 0.000
Ba 7.289 4.209 2.976
Pt 4.860 2.806 1.984
```

Output
ΔE_f	1832	meV/atom
N(E_F)	5.755	states/eV per cell
symmetry	No. 216
magnetization	2.0	μB/f.u.
V	81.2	Å³ per cell

=====

Below is NdHo4Er5 after structural relaxation, with properties calculated at the GGA-PBE level.

```
10
Lattice="-2.546 4.128 -3.967 -2.069 -3.123 -6.870 -7.776 0.583 0.649" Properties=species:S:1:pos:R:3 pbc="T T T"
Nd -0.567 0.919 -0.883
Ho -7.305 0.820 -3.890
Ho -8.158 1.473 -7.611
Ho -3.993 -0.273 -2.204
Ho -4.847 0.380 -5.925
Er -9.909 2.672 -5.200
Er -7.185 -1.724 -6.575
Er -4.947 2.892 -3.208
Er -2.222 -1.505 -4.583
Er -1.730 2.806 -2.696
```

Output
ΔE_f	308	meV/atom
N(E_F)	13.969	states/eV per cell
symmetry	No. 79
magnetization	0.0	μB/f.u.
V	322.1	Å³ per cell

=====

Below is SrTm2O4 after structural relaxation, with properties calculated at the GGA-PBE level.

```
28
Lattice="3.373 0.000 0.000 0.000 10.069 0.000 0.000 0.000 11.848" Properties=species:S:1:pos:R:3 pbc="T T T"
Sr 2.530 2.556 10.074
Sr 0.843 7.513 1.774
Sr 2.530 7.591 7.697
Sr 0.843 2.479 4.150
Tm 0.843 5.822 10.552
Tm 2.530 4.247 1.296
Tm 0.843 0.788 7.220
Tm 2.530 9.282 4.628
Tm 2.530 9.324 10.518
Tm 0.843 0.745 1.330
Tm 2.530 4.290 7.254
Tm 0.843 5.780 4.594
O 0.843 5.790 6.827
O 2.530 4.279 5.021
O 0.843 0.756 10.945
O 2.530 9.314 0.903
O 0.843 4.857 2.565
O 2.530 5.212 9.283
O 0.843 9.892 3.359
O 2.530 0.177 8.488
O 0.843 8.839 6.167
O 2.530 1.230 5.680
O 0.843 3.804 11.604
O 2.530 6.265 0.244
O 2.530 7.147 3.911
O 0.843 2.922 7.937
O 2.530 2.112 2.013
O 0.843 7.957 9.835
```

Output
uncorrected formation energy	-3.411	eV per atom
N(E_F)	0.000	states/eV per cell
symmetry	No. 62
magnetization	0.0	μB/f.u.
V	402.4	Å³ per cell

=====

Below is La5SmCd2In after structural relaxation, with properties calculated at the GGA-PBE level.

```
18
Lattice="-1.110 -1.477 7.635 -7.087 -2.983 -1.608 8.128 -6.725 -4.161" Properties=species:S:1:pos:R:3 pbc="T T T"
La -1.820 -4.455 5.241
La 4.119 -6.315 1.703
La 1.751 -6.730 -3.374
La 5.210 -5.351 -1.992
La 0.659 -7.695 0.321
La -5.280 -5.834 3.859
La -0.729 -3.490 1.545
La -4.188 -4.870 0.163
La -4.098 -2.230 3.013
La 0.000 0.000 0.000
Sm 2.015 -4.478 -0.574
Sm -2.084 -6.708 2.440
Cd -2.828 -1.311 0.303
Cd -1.537 -1.273 4.539
Cd -6.660 -3.187 1.488
Cd -5.369 -3.149 5.724
In -1.529 -5.969 -1.377
In 1.460 -5.216 3.244
```

Output
ΔE_f	-119	meV/atom
N(E_F)	24.249	states/eV per cell
symmetry	No. 140
magnetization	0.0	μB/f.u.
V	610.0	Å³ per cell

=====

Below is Co2Se after structural relaxation, with properties calculated at the GGA-PBE level.

```
6
Lattice="1.649 4.153 0.339 -1.649 4.153 0.339 0.000 3.015 6.310" Properties=species:S:1:pos:R:3 pbc="T T T"
Co 0.000 4.883 4.485
Co 0.000 8.370 6.602
Co 0.000 6.438 2.502
Co 0.000 2.950 0.386
Se 0.000 8.829 2.423
Se 0.000 2.492 4.564
```

Output
uncorrected formation energy	0.202	eV per atom
N(E_F)	6.592	states/eV per cell
symmetry	No. 12
magnetization	3.2	μB/f.u.
V	83.0	Å³ per cell

=====

Below is CaCr2Ru after structural relaxation, with properties calculated at the GGA-PBE level.

```
4
Lattice="-0.655 -3.416 2.939 3.972 0.965 2.007 -1.443 1.934 1.926" Properties=species:S:1:pos:R:3 pbc="T T T"
Ru -1.049 -0.741 2.432
Ca 1.264 1.450 1.966
Cr 0.000 0.000 0.000
Cr 1.658 -1.225 2.473
```

Output
ΔE_f	816	meV/atom
N(E_F)	6.063	states/eV per cell
symmetry	No. 123
magnetization	4.3	μB/f.u.
V	64.0	Å³ per cell

=====

Below is Sc2MoI after structural relaxation, with properties calculated at the GGA-PBE level.

```
4
Lattice="-0.782 0.017 4.840 -2.875 3.427 2.007 -4.402 -1.226 1.776" Properties=species:S:1:pos:R:3 pbc="T T T"
I -4.030 1.109 4.312
Sc -2.015 0.554 2.156
Sc -6.045 1.663 6.467
Mo 0.000 0.000 0.000
```

Output
uncorrected formation energy	0.322	eV per atom
N(E_F)	4.919	states/eV per cell
symmetry	No. 225
magnetization	0.0	μB/f.u.
V	83.3	Å³ per cell

=====

Below is AcY2Er9 after structural relaxation, with properties calculated at the GGA-PBE level.

```
12
Lattice="-0.086 -4.638 -1.947 3.763 1.233 -3.103 10.039 -4.541 10.370" Properties=species:S:1:pos:R:3 pbc="T T T"
Ac 0.000 0.000 0.000
Y 3.371 -1.525 3.483
Y 6.667 -3.016 6.887
Er 1.839 -1.703 -2.525
Er 5.223 -3.234 0.971
Er 8.493 -4.712 4.348
Er 1.700 -3.107 0.826
Er 4.976 -4.590 4.211
Er 8.253 -6.072 7.596
Er 3.624 -0.172 0.248
Er 6.901 -1.654 3.633
Er 10.178 -3.136 7.018
```

Output
ΔE_f	43	meV/atom
N(E_F)	17.118	states/eV per cell
symmetry	No. 123
magnetization	0.0	μB/f.u.
V	383.0	Å³ per cell

=====

Below is AsOs2Cl after structural relaxation, with properties calculated at the GGA-PBE level.

```
4
Lattice="4.155 -0.003 0.066 3.156 2.702 0.066 -1.564 -0.577 7.781" Properties=species:S:1:pos:R:3 pbc="T T T"
As 2.484 0.917 4.702
Os -0.760 -0.281 7.178
Os 4.570 1.687 6.146
Cl 0.763 0.282 1.625
```

Output
uncorrected formation energy	0.329	eV per atom
N(E_F)	2.795	states/eV per cell
symmetry	No. 8
magnetization	0.0	μB/f.u.
V	87.7	Å³ per cell